Th2Al7: optimized geometry, PBE.

Cell and atoms, written as POSCAR:
```
Th2Al7
1.0
5.879 0.000 0.000
0.000 11.462 0.000
0.000 0.000 5.559
Th Al
4 14
Direct
0.145 0.147 0.000
0.355 0.647 0.000
0.645 0.353 0.000
0.855 0.853 0.000
0.000 0.000 0.500
0.098 0.748 0.500
0.148 0.408 0.238
0.148 0.408 0.762
0.352 0.908 0.238
0.352 0.908 0.762
0.402 0.248 0.500
0.500 0.500 0.500
0.598 0.752 0.500
0.648 0.092 0.238
0.648 0.092 0.762
0.852 0.592 0.238
0.852 0.592 0.762
0.902 0.252 0.500
```

Output
**Energy above the lowest structure with this stoichiometry**: 0.0 meV/atom
**ΔE_f**: -340 meV per atom